[1]
A plane-wave DFT calculation with PBE was carried out for a geometry-optimized GdYZr2Sb2 structure.

Raw total energy (eV/atom): -6.899

Cell and atoms, written as CIF:
```
data_GdYZr2Sb2
_symmetry_space_group_name_H-M 'I 4 m m'
_symmetry_Int_Tables_number 107
_symmetry_space_group_name_Hall 'I 4 -2'
_cell_length_a 4.2812
_cell_length_b 4.2812
_cell_length_c 16.7113
_cell_angle_alpha 90.00
_cell_angle_beta 90.00
_cell_angle_gamma 90.00
loop_
_atom_site_label
_atom_site_type_symbol
_atom_site_fract_x
_atom_site_fract_y
_atom_site_fract_z
_atom_site_occupancy
Gd1 Gd 0.0000 0.0000 0.0000 1
Y1 Y 0.0000 0.0000 0.6457 1
Zr1 Zr 0.0000 0.5000 0.3225 1
Sb1 Sb 0.0000 0.0000 0.1902 1
Sb2 Sb 0.0000 0.0000 0.4550 1
```



[2]
A plane-wave DFT calculation with PBE was carried out for a geometry-optimized HfSiMo structure.

E above lowest polymorph (meV/atom): 410
Raw total energy (eV/atom): -9.041

Cell and atoms, written as CIF:
```
data_HfSiMo
_symmetry_space_group_name_H-M 'P 63/m m c'
_symmetry_Int_Tables_number 194
_symmetry_space_group_name_Hall '-P 6c 2c'
_cell_length_a 4.5991
_cell_length_b 4.5991
_cell_length_c 5.3856
_cell_angle_alpha 90.00
_cell_angle_beta 90.00
_cell_angle_gamma 120.00
loop_
_atom_site_label
_atom_site_type_symbol
_atom_site_fract_x
_atom_site_fract_y
_atom_site_fract_z
_atom_site_occupancy
Hf1 Hf 0.3333 0.6667 0.2500 1
Si1 Si 0.3333 0.6667 0.7500 1
Mo1 Mo 0.0000 0.0000 0.0000 1
```



[3]
A plane-wave DFT calculation with PBE was carried out for a geometry-optimized Lu2ZnGe structure.

Raw total energy (eV/atom): -3.633

Cell and atoms, written as CIF:
```
data_Lu2ZnGe
_symmetry_space_group_name_H-M 'F -4 3 m'
_symmetry_Int_Tables_number 216
_symmetry_space_group_name_Hall 'F -4 2 3'
_cell_length_a 7.0944
_cell_length_b 7.0944
_cell_length_c 7.0944
_cell_angle_alpha 90.00
_cell_angle_beta 90.00
_cell_angle_gamma 90.00
loop_
_atom_site_label
_atom_site_type_symbol
_atom_site_fract_x
_atom_site_fract_y
_atom_site_fract_z
_atom_site_occupancy
Lu1 Lu 0.0000 0.0000 0.0000 1
Lu2 Lu 0.2500 0.2500 0.2500 1
Zn1 Zn 0.2500 0.2500 0.7500 1
Ge1 Ge 0.0000 0.0000 0.5000 1
```



[4]
A plane-wave DFT calculation with PBE was carried out for a geometry-optimized AgPbSeF structure.

E above lowest polymorph (meV/atom): 517
Raw total energy (eV/atom): -3.503

Cell and atoms, written as CIF:
```
data_AgPbSeF
_symmetry_space_group_name_H-M 'C m m e'
_symmetry_Int_Tables_number 67
_symmetry_space_group_name_Hall '-C 2a 2'
_cell_length_a 6.9784
_cell_length_b 6.9887
_cell_length_c 7.7332
_cell_angle_alpha 90.00
_cell_angle_beta 90.00
_cell_angle_gamma 90.00
loop_
_atom_site_label
_atom_site_type_symbol
_atom_site_fract_x
_atom_site_fract_y
_atom_site_fract_z
_atom_site_occupancy
Ag1 Ag 0.0000 0.2500 0.0535 1
Pb1 Pb 0.2500 0.0000 0.5000 1
Se1 Se 0.0000 0.2500 0.7084 1
F1 F 0.2500 0.0000 0.0000 1
```



[5]
A plane-wave DFT calculation with PBE was carried out for a geometry-optimized Y2Hf4Ge3C3 structure.

Raw total energy (eV/atom): -8.610

Cell and atoms, written as CIF:
```
data_Y2Hf4Ge3C3
_symmetry_space_group_name_H-M 'C 1 2/c 1'
_symmetry_Int_Tables_number 15
_cell_length_a 10.1571
_cell_length_b 5.8675
_cell_length_c 14.3072
_cell_angle_alpha 90.00
_cell_angle_beta 103.56
_cell_angle_gamma 90.00
loop_
_symmetry_equiv_pos_as_xyz
'x,y,z'
'-x,-y,-z'
'-x,y,-z+1/2'
'x,-y,z+1/2'
'x+1/2,y+1/2,z'
'-x+1/2,-y+1/2,-z'
'-x+1/2,y+1/2,-z+1/2'
'x+1/2,-y+1/2,z+1/2'
loop_
_atom_site_label
_atom_site_type_symbol
_atom_site_fract_x
_atom_site_fract_y
_atom_site_fract_z
_atom_site_occupancy
Y1 Y 0.0461 0.0815 0.3911 1
Hf1 Hf 0.1109 0.4105 0.5850 1
Hf2 Hf 0.2255 0.4193 0.9150 1
Ge1 Ge 0.0000 0.4767 0.7500 1
Ge2 Ge 0.2194 0.1361 0.7510 1
C1 C 0.0867 0.2600 0.0000 1
C2 C 0.2500 0.2500 0.5000 1
```



[6]
A plane-wave DFT calculation with PBE was carried out for a geometry-optimized DyGe3Pt4 structure.

Raw total energy (eV/atom): -5.928

Cell and atoms, written as CIF:
```
data_DyGe3Pt4
_symmetry_space_group_name_H-M 'P 1 m 1'
_symmetry_Int_Tables_number 6
_cell_length_a 5.5882
_cell_length_b 3.9385
_cell_length_c 6.6338
_cell_angle_alpha 90.00
_cell_angle_beta 93.33
_cell_angle_gamma 90.00
loop_
_symmetry_equiv_pos_as_xyz
'x,y,z'
'x,-y,z'
loop_
_atom_site_label
_atom_site_type_symbol
_atom_site_fract_x
_atom_site_fract_y
_atom_site_fract_z
_atom_site_occupancy
Dy1 Dy 0.0000 0.0000 0.0000 1
Ge1 Ge 0.2333 0.0000 0.5263 1
Ge2 Ge 0.4670 0.5000 0.8814 1
Ge3 Ge 0.7484 0.5000 0.3523 1
Pt1 Pt 0.0336 0.5000 0.6908 1
Pt2 Pt 0.2091 0.5000 0.2808 1
Pt3 Pt 0.5269 0.0000 0.1492 1
Pt4 Pt 0.6705 0.0000 0.6225 1
```



[7]
A plane-wave DFT calculation with PBE was carried out for a geometry-optimized ErAlIn structure.

Raw total energy (eV/atom): -3.843

Cell and atoms, written as CIF:
```
data_ErAlIn
_symmetry_space_group_name_H-M 'F -4 3 m'
_symmetry_Int_Tables_number 216
_symmetry_space_group_name_Hall 'F -4 2 3'
_cell_length_a 6.6956
_cell_length_b 6.6956
_cell_length_c 6.6956
_cell_angle_alpha 90.00
_cell_angle_beta 90.00
_cell_angle_gamma 90.00
loop_
_atom_site_label
_atom_site_type_symbol
_atom_site_fract_x
_atom_site_fract_y
_atom_site_fract_z
_atom_site_occupancy
Er1 Er 0.0000 0.0000 0.0000 1
Al1 Al 0.2500 0.2500 0.2500 1
In1 In 0.0000 0.0000 0.5000 1
```



[8]
A plane-wave DFT calculation with PBE was carried out for a geometry-optimized Tm3Te5Pt structure.

E above lowest polymorph (meV/atom): 141
Raw total energy (eV/atom): -4.639

Cell and atoms, written as CIF:
```
data_Tm3Te5Pt
_symmetry_space_group_name_H-M 'P -6 2 m'
_symmetry_Int_Tables_number 189
_symmetry_space_group_name_Hall 'P -6 -2'
_cell_length_a 8.5804
_cell_length_b 8.5804
_cell_length_c 3.7681
_cell_angle_alpha 90.00
_cell_angle_beta 90.00
_cell_angle_gamma 120.00
loop_
_atom_site_label
_atom_site_type_symbol
_atom_site_fract_x
_atom_site_fract_y
_atom_site_fract_z
_atom_site_occupancy
Tm1 Tm 0.0000 0.6466 0.0000 1
Te1 Te 0.0000 0.2431 0.5000 1
Te2 Te 0.3333 0.6667 0.5000 1
Pt1 Pt 0.0000 0.0000 0.0000 1
```



[9]
A plane-wave DFT calculation with PBE was carried out for a geometry-optimized ErFe6Ge6 structure.

E above lowest polymorph (meV/atom): 0
Raw total energy (eV/atom): -6.605

Cell and atoms, written as CIF:
```
data_ErFe6Ge6
_symmetry_space_group_name_H-M 'I m m m'
_symmetry_Int_Tables_number 71
_symmetry_space_group_name_Hall '-I 2 2'
_cell_length_a 5.1026
_cell_length_b 8.1333
_cell_length_c 26.4816
_cell_angle_alpha 90.00
_cell_angle_beta 90.00
_cell_angle_gamma 90.00
loop_
_atom_site_label
_atom_site_type_symbol
_atom_site_fract_x
_atom_site_fract_y
_atom_site_fract_z
_atom_site_occupancy
Er1 Er 0.0000 0.0000 0.0000 1
Er2 Er 0.0000 0.5000 0.3317 1
Fe1 Fe 0.0000 0.2500 0.1668 1
Fe2 Fe 0.0000 0.2505 0.5000 1
Fe3 Fe 0.2500 0.2494 0.0834 1
Fe4 Fe 0.2500 0.2500 0.2500 1
Ge1 Ge 0.0000 0.0000 0.1119 1
Ge2 Ge 0.0000 0.0000 0.2240 1
Ge3 Ge 0.0000 0.0000 0.4444 1
Ge4 Ge 0.0000 0.1537 0.3337 1
Ge5 Ge 0.0000 0.3460 0.0000 1
Ge6 Ge 0.0000 0.5000 0.1108 1
Ge7 Ge 0.0000 0.5000 0.2202 1
Ge8 Ge 0.0000 0.5000 0.4440 1
```



[10]
A plane-wave DFT calculation with PBE was carried out for a geometry-optimized Er2AgS3 structure.

E above lowest polymorph (meV/atom): 38
Raw total energy (eV/atom): -5.453

Cell and atoms, written as CIF:
```
data_Er2AgS3
_symmetry_space_group_name_H-M 'P n m a'
_symmetry_Int_Tables_number 62
_cell_length_a 10.0684
_cell_length_b 3.7958
_cell_length_c 12.9600
_cell_angle_alpha 90.00
_cell_angle_beta 90.00
_cell_angle_gamma 90.00
loop_
_symmetry_equiv_pos_as_xyz
'x,y,z'
'-x,-y,-z'
'-x+1/2,-y,z+1/2'
'x+1/2,y,-z+1/2'
'x+1/2,-y+1/2,-z+1/2'
'-x+1/2,y+1/2,z+1/2'
'-x,y+1/2,-z'
'x,-y+1/2,z'
loop_
_atom_site_label
_atom_site_type_symbol
_atom_site_fract_x
_atom_site_fract_y
_atom_site_fract_z
_atom_site_occupancy
Er1 Er 0.0248 0.2500 0.2466 1
Er2 Er 0.2171 0.7500 0.5232 1
Ag1 Ag 0.2255 0.2500 0.7383 1
S1 S 0.0386 0.2500 0.6051 1
S2 S 0.0976 0.7500 0.1043 1
S3 S 0.2332 0.7500 0.8682 1
```



[11]
A plane-wave DFT calculation with PBE was carried out for a geometry-optimized Hf4AlHgC2 structure.

Raw total energy (eV/atom): -8.448

Cell and atoms, written as CIF:
```
data_Hf4AlHgC2
_symmetry_space_group_name_H-M 'P -6 m 2'
_symmetry_Int_Tables_number 187
_symmetry_space_group_name_Hall 'P -6 2'
_cell_length_a 3.2893
_cell_length_b 3.2893
_cell_length_c 14.5875
_cell_angle_alpha 90.00
_cell_angle_beta 90.00
_cell_angle_gamma 120.00
loop_
_atom_site_label
_atom_site_type_symbol
_atom_site_fract_x
_atom_site_fract_y
_atom_site_fract_z
_atom_site_occupancy
Hf1 Hf 0.0000 0.0000 0.1603 1
Hf2 Hf 0.3333 0.6667 0.3312 1
Al1 Al 0.3333 0.6667 0.0000 1
Hg1 Hg 0.0000 0.0000 0.5000 1
C1 C 0.6667 0.3333 0.2464 1
```